Record 1
A geometry-optimized Tb3HoSc3Se8 structure. Source: Alexandria via LeMat-Bulk, functional PBE.

Cell: 7.9283 7.9283 19.6228 Å, 90.00 90.00 120.00°
Last column: nearest neighbours and their distance in Å.
Space group R-3m (No. 166, hexagonal axes)
Symmetry-distinct sites (fractional):
1 Tb 0.0000 0.5000 0.0000 x9  6 Se 2.88
2 Ho 0.0000 0.0000 0.5000 x3  6 Se 2.87
3 Sc 0.0000 0.5000 0.5000 x9  6 Se 2.75
4 Se 0.0000 0.0000 0.2444 x6  3 Sc 2.75, 3 Tb 2.88
5 Se 0.0145 0.5073 0.7518 x18  2 Sc 2.75, 1 Ho 2.87, 2 Tb 2.88

Properties
- volume (Å³/atom) = 23.738
- Fermi-level density of states (states/eV/atom) = 0.4658
- raw total energy (eV/cell) = -275.4

Record 2
A geometry-optimized NaAsOs3 structure. Source: Alexandria via LeMat-Bulk, functional PBE.

Cell: 4.4965 4.4965 4.4965 Å, 90.00 90.00 90.00°
Last column: nearest neighbours and their distance in Å.
Space group Pm-3m (No. 221)
Symmetry-distinct sites (fractional):
1 Na 0.0000 0.0000 0.0000 x1  6 Os 2.25
2 As 0.5000 0.5000 0.5000 x1  12 Os 3.18
3 Os 0.0000 0.0000 0.5000 x3  2 Na 2.25

Properties
- volume (Å³/atom) = 18.182
- energy of formation from the pure elements (kJ/mol of atoms) = 298.51
- energy above the most stable polymorph in this dataset (meV/atom) = 1544
- Fermi-level density of states (states/eV/atom) = 1.5071

- The highest Fermi-level density of states belongs to which entry?
  NaAsOs3

- The lowest Fermi-level density of states belongs to which entry?
  Tb3HoSc3Se8